Computed, not measured: a relaxed Sr2Hg3Ge crystal at the GGA-PBE level of DFT.

## Properties
SG: Fmmm (69)
Formation enthalpy at 0 K: -0.48 eV per atom

```
Sr2Hg3Ge
1.0
0.000 4.959 8.546
4.009 0.000 8.546
4.009 4.959 0.000
Sr Hg Ge
4 6 2
Direct
0.244 0.756 0.756 Sr
0.250 0.250 0.250 Sr
0.750 0.750 0.750 Sr
0.756 0.244 0.244 Sr
0.171 0.171 0.829 Hg
0.172 0.657 0.343 Hg
0.343 0.828 0.172 Hg
0.657 0.172 0.828 Hg
0.828 0.343 0.657 Hg
0.829 0.829 0.171 Hg
0.335 0.335 0.665 Ge
0.665 0.665 0.335 Ge
```

***

Computed, not measured: a relaxed LiBeAu2 crystal at the GGA-PBE level of DFT.

## Properties
SG: I-42d (122)
Formation enthalpy at 0 K: 0.03 eV per atom

```
LiBeAu2
1.0
3.946 0.000 0.000
0.000 3.946 0.000
0.000 0.000 16.601
Li Be Au
4 4 8
Direct
0.000 0.000 0.000 Li
0.000 0.500 0.250 Li
0.500 0.000 0.750 Li
0.500 0.500 0.500 Li
0.000 0.000 0.500 Be
0.000 0.500 0.750 Be
0.500 0.000 0.250 Be
0.500 0.500 0.000 Be
0.241 0.250 0.625 Au
0.250 0.741 0.875 Au
0.250 0.759 0.375 Au
0.259 0.250 0.125 Au
0.741 0.750 0.125 Au
0.750 0.241 0.375 Au
0.750 0.259 0.875 Au
0.759 0.750 0.625 Au
```

***

- The lowest formation enthalpy at 0 K belongs to which entry?
  Sr2Hg3Ge

***

- Which formula does entry 1 have?
  Sr2Hg3Ge

***

What did the first record say?
Computed, not measured: a relaxed Sr2Hg3Ge crystal at the GGA-PBE level of DFT.

## Properties
SG: Fmmm (69)
Formation enthalpy at 0 K: -0.48 eV per atom

```
Sr2Hg3Ge
1.0
0.000 4.959 8.546
4.009 0.000 8.546
4.009 4.959 0.000
Sr Hg Ge
4 6 2
Direct
0.244 0.756 0.756 Sr
0.250 0.250 0.250 Sr
0.750 0.750 0.750 Sr
0.756 0.244 0.244 Sr
0.171 0.171 0.829 Hg
0.172 0.657 0.343 Hg
0.343 0.828 0.172 Hg
0.657 0.172 0.828 Hg
0.828 0.343 0.657 Hg
0.829 0.829 0.171 Hg
0.335 0.335 0.665 Ge
0.665 0.665 0.335 Ge
```